No. 1
# KLi2Pb2

An optimized crystal structure of KLi2Pb2 (PBE-GGA, the Alexandria database).

Computed properties:
Formation energy from the elements = -0.137 eV per atom
Density of states at the Fermi level = 0.402 states/eV/atom
Space group = No. 2
Energy relative to the lowest polymorph listed for this composition = 58 meV/atom
Spin magnetization = 0.0 μB per cell

abc: 5.7352 6.6706 9.0993
angles: 82.33 71.56 64.73
Closest atoms and distances in Å follow each position.
Element x y z (fractional)
K 0.8763 0.7494 0.2496  4 Li 3.45-3.46, 6 Pb 3.63-3.80
K 0.1237 0.2506 0.7504  4 Li 3.45-3.46, 6 Pb 3.63-3.80
Li 0.4878 0.7490 0.0270  4 Pb 2.89-2.95
Li 0.7357 0.2505 0.5267  4 Pb 2.89-2.95
Li 0.5122 0.2510 0.9730  4 Pb 2.89-2.95
Li 0.2643 0.7495 0.4733  4 Pb 2.89-2.95
Pb 0.5613 0.3793 0.2496  4 Li 2.89-2.95
Pb 0.8088 0.8805 0.7494  4 Li 2.90-2.95
Pb 0.1912 0.1195 0.2506  4 Li 2.90-2.95
Pb 0.4387 0.6207 0.7504  4 Li 2.89-2.95

No. 2
# VNi6Pt2

An optimized crystal structure of VNi6Pt2 (PBE-GGA, the Alexandria database).

Computed properties:
Formation energy from the elements = -0.194 eV per atom
Density of states at the Fermi level = 1.331 states/eV/atom
Space group = No. 12
Energy relative to the lowest polymorph listed for this composition = 0 meV/atom
Spin magnetization = 1.8 μB per cell

abc: 3.6345 5.8481 5.7388
angles: 107.32 108.46 90.00
Closest atoms and distances in Å follow each position.
Element x y z (fractional)
V 0.5000 0.5000 0.0000  8 Ni 2.57-2.59, 4 Pt 2.57
Ni 0.3823 0.8180 0.7647  6 Ni 2.47-2.69, 1 V 2.57, 4 Pt 2.62-2.68
Ni 0.6177 0.1820 0.2353  6 Ni 2.47-2.69, 1 V 2.57, 4 Pt 2.62-2.68
Ni 0.7252 0.8257 0.4505  8 Ni 2.51-2.69, 3 Pt 2.59-2.60, 1 V 2.59
Ni 0.1692 0.5019 0.3385  8 Ni 2.47-2.56, 2 Pt 2.57-2.60, 2 V 2.59
Ni 0.2748 0.1743 0.5495  8 Ni 2.51-2.69, 3 Pt 2.59-2.60, 1 V 2.59
Ni 0.8308 0.4981 0.6615  8 Ni 2.47-2.56, 2 Pt 2.57-2.60, 2 V 2.59
Pt 0.9435 0.1731 0.8869  9 Ni 2.57-2.68, 2 V 2.57, 1 Pt 2.68
Pt 0.0565 0.8269 0.1131  9 Ni 2.57-2.68, 2 V 2.57, 1 Pt 2.68

No. 3
# BeAlSi

An optimized crystal structure of BeAlSi (PBE-GGA, the Alexandria database).

Computed properties:
VASP energy = -0.151 hartree per atom
Density of states at the Fermi level = 0.212 states/eV/atom
Space group = No. 2
Spin magnetization = 0.0 μB per cell

abc: 3.7316 3.8254 5.8644
angles: 86.69 81.64 89.08
Closest atoms and distances in Å follow each position.
Element x y z (fractional)
Be 0.2552 0.8191 0.5215  2 Be 2.29-2.37, 3 Si 2.29-2.40, 2 Al 2.52-2.55
Be 0.7448 0.1809 0.4785  2 Be 2.29-2.37, 3 Si 2.29-2.40, 2 Al 2.52-2.55
Si 0.7870 0.7082 0.2523  3 Be 2.29-2.40, 1 Al 2.55
Si 0.2130 0.2918 0.7477  3 Be 2.29-2.40, 1 Al 2.55
Al 0.3026 0.2390 0.1711  3 Be 2.52-2.61, 5 Si 2.55-2.79
Al 0.6974 0.7610 0.8289  3 Be 2.52-2.61, 5 Si 2.55-2.79

No. 4
# Na2Sr4Pb

An optimized crystal structure of Na2Sr4Pb (PBE-GGA, the Alexandria database).

Computed properties:
Formation energy from the elements = -0.011 eV per atom
Density of states at the Fermi level = 0.884 states/eV/atom
Space group = No. 139
Spin magnetization = 0.0 μB per cell

abc: 6.4342 6.4342 10.2415
angles: 71.69 71.69 90.00
Closest atoms and distances in Å follow each position.
Element x y z (fractional)
Pb 0.0000 0.0000 0.0000  6 Sr 3.22-3.27
Sr 0.1783 0.1783 0.6434  1 Pb 3.27
Sr 0.8217 0.8217 0.3566  1 Pb 3.27
Sr 0.0000 0.5000 0.0000  2 Pb 3.22
Sr 0.5000 0.0000 0.0000  2 Pb 3.22
Na 0.3810 0.3810 0.2379  5 Sr 3.72-3.89
Na 0.6190 0.6190 0.7621  5 Sr 3.72-3.89

No. 5
# YEr2AgC

An optimized crystal structure of YEr2AgC (PBE-GGA, the Alexandria database).

Computed properties:
Formation energy from the elements = -0.235 eV per atom
Density of states at the Fermi level = 1.332 states/eV/atom
Space group = No. 99
Spin magnetization = 0.7 μB per cell

abc: 4.8278 4.8277 4.9425
angles: 90.00 90.00 90.00
Closest atoms and distances in Å follow each position.
Element x y z (fractional)
Y 0.0000 0.0000 0.4994  2 C 2.47-2.48
Er 0.0000 0.5000 0.9995  2 C 2.41
Er 0.5000 0.0000 0.9995  2 C 2.41
Ag 0.5000 0.5000 0.5010  4 Y 3.41, 8 Er 3.45-3.46
C 0.0000 0.0000 0.0005  4 Er 2.41, 2 Y 2.47-2.48

No. 6
# Tc2MoIr

An optimized crystal structure of Tc2MoIr (PBE-GGA, the Alexandria database).

Computed properties:
Formation energy from the elements = 0.009 eV per atom
Density of states at the Fermi level = 0.857 states/eV/atom
Space group = No. 6
Energy relative to the lowest polymorph listed for this composition = 150 meV/atom
Spin magnetization = 0.0 μB per cell

abc: 4.3016 2.7362 5.2536
angles: 75.81 90.00 90.00
Closest atoms and distances in Å follow each position.
Element x y z (fractional)
Ir 0.0000 0.5391 0.5278  5 Tc 2.66-2.92, 4 Mo 2.72-2.81, 2 Ir 2.74
Mo 0.5000 0.9059 0.7399  4 Tc 2.55-2.76, 4 Ir 2.72-2.81, 2 Mo 2.74
Tc 0.0000 0.8250 0.0062  2 Mo 2.55, 3 Ir 2.66-2.81, 6 Tc 2.74-2.80
Tc 0.5000 0.2300 0.2261  3 Mo 2.63-2.90, 6 Tc 2.74-2.80, 2 Ir 2.92

No. 7
# DyTmUO6

An optimized crystal structure of DyTmUO6 (PBE-GGA, the Alexandria database).

Computed properties:
VASP energy = -0.329 hartree per atom
Density of states at the Fermi level = 0.000 states/eV/atom
Space group = No. 163
Spin magnetization = 0.0 μB per cell

abc: 5.7160 5.7160 9.4024
angles: 90.00 90.00 120.00
Closest atoms and distances in Å follow each position.
Element x y z (fractional)
Dy 0.0000 0.0000 0.0000  6 O 2.34
Dy 0.0000 0.0000 0.5000  6 O 2.34
Tm 0.3333 0.6667 0.2500  6 O 2.24
Tm 0.6667 0.3333 0.7500  6 O 2.24
U 0.6667 0.3333 0.2500  6 O 2.10
U 0.3333 0.6667 0.7500  6 O 2.10
O 0.6651 0.6469 0.1345  1 U 2.10, 1 Tm 2.24, 1 Dy 2.34
O 0.9818 0.3349 0.1345  1 U 2.10, 1 Tm 2.24, 1 Dy 2.34
O 0.3349 0.9818 0.6345  1 U 2.10, 1 Tm 2.24, 1 Dy 2.34
O 0.0182 0.6651 0.8655  1 U 2.10, 1 Tm 2.24, 1 Dy 2.34
O 0.3531 0.3349 0.3655  1 U 2.10, 1 Tm 2.24, 1 Dy 2.34
O 0.9818 0.6469 0.3655  1 U 2.10, 1 Tm 2.24, 1 Dy 2.34
O 0.6469 0.9818 0.8655  1 U 2.10, 1 Tm 2.24, 1 Dy 2.34
O 0.6651 0.0182 0.3655  1 U 2.10, 1 Tm 2.24, 1 Dy 2.34
O 0.0182 0.3531 0.6345  1 U 2.10, 1 Tm 2.24, 1 Dy 2.34
O 0.3531 0.0182 0.1345  1 U 2.10, 1 Tm 2.24, 1 Dy 2.34
O 0.6469 0.6651 0.6345  1 U 2.10, 1 Tm 2.24, 1 Dy 2.34
O 0.3349 0.3531 0.8655  1 U 2.10, 1 Tm 2.24, 1 Dy 2.34

No. 8
# CaLa2Tl

An optimized crystal structure of CaLa2Tl (PBE-GGA, the Alexandria database).

Computed properties:
Formation energy from the elements = -0.195 eV per atom
Density of states at the Fermi level = 0.932 states/eV/atom
Space group = No. 71
Energy relative to the lowest polymorph listed for this composition = 4 meV/atom
Spin magnetization = 0.0 μB per cell

abc: 7.1644 7.1644 5.5844
angles: 67.10 67.10 31.95
Closest atoms and distances in Å follow each position.
Element x y z (fractional)
Tl 0.7500 0.7500 0.7500  4 La 3.36, 4 Ca 3.42
Ca 0.2500 0.2500 0.2500  4 Tl 3.42
La 0.0343 0.0343 0.9657  2 Tl 3.36, 4 La 3.53
La 0.4657 0.4657 0.5343  2 Tl 3.36, 4 La 3.53